Density functional theory data (PBE) for a relaxed structure of CaNi2Mo2.

Unit cell a=7.7327 b=7.7327 c=2.6626 alpha=90.00 beta=90.00 gamma=90.00
Space group P4/mbm (No. 127)
Symmetry-distinct sites (fractional):
Ca (0.0000, 0.0000, 0.0000)
Ni (0.1729, 0.3271, 0.5000)
Mo (0.1177, 0.6177, 0.0000)

Summary:
The value obtained for the total moment is 0.000 Bohr magnetons per cell. For the formation energy from the elements, the calculation gives 0.23 eV per atom. For the density of states at the Fermi level, the calculation gives 1.33 states/eV/atom.